[1]
First-principles (meta-GGA SCAN) data for a crystal of ZrScCu4 relaxed with PBEsol, as listed in the Alexandria database.

```
ZrScCu4
1.0
0.0000 3.5142 3.5142
3.5142 0.0000 3.5142
3.5142 3.5142 0.0000
Zr Sc Cu
1 1 4
direct
0.0000 0.0000 0.0000
0.7500 0.7500 0.7500
0.3749 0.3749 0.3749
0.3749 0.3749 0.8752
0.3749 0.8752 0.3749
0.8752 0.3749 0.3749
```

Summary:
Formation enthalpy at 0 K, eV/atom: -0.195
Space-group type: F-43m

[2]
First-principles (meta-GGA SCAN) data for a crystal of Zr2ScCu2 relaxed with PBEsol, as listed in the Alexandria database.

```
Zr2ScCu2
1.0
7.4779 0.0000 0.0000
0.0000 7.4779 0.0000
0.0000 0.0000 3.2226
Zr Sc Cu
4 2 4
direct
0.1720 0.3280 0.0000
0.3280 0.8280 0.0000
0.6720 0.1720 0.0000
0.8280 0.6720 0.0000
0.0000 0.0000 0.5000
0.5000 0.5000 0.5000
0.1214 0.6214 0.5000
0.3786 0.1214 0.5000
0.6214 0.8786 0.5000
0.8786 0.3786 0.5000
```

Summary:
Polymorph energy (0 for the lowest one), meV/atom: 0
Formation enthalpy at 0 K, eV/atom: -0.164
Space-group type: P4/mbm

[3]
First-principles (meta-GGA SCAN) data for a crystal of ZrSc2Cu relaxed with PBEsol, as listed in the Alexandria database.

```
ZrSc2Cu
1.0
3.1646 0.0000 0.0000
0.0000 3.1646 0.0000
0.0000 0.0000 7.8079
Zr Sc Cu
1 2 1
direct
0.0000 0.0000 0.0000
0.5000 0.5000 0.2875
0.5000 0.5000 0.7125
0.0000 0.0000 0.5000
```

Summary:
Polymorph energy (0 for the lowest one), meV/atom: 0
Formation enthalpy at 0 K, eV/atom: -0.146
Space-group type: P4/mmm

[4]
First-principles (meta-GGA SCAN) data for a crystal of Zr3ScCu relaxed with PBEsol, as listed in the Alexandria database.

```
Zr3ScCu
1.0
4.8792 0.0000 0.0000
0.0000 4.8792 0.0000
0.0000 0.0000 4.8792
Zr Sc Cu
3 1 1
direct
0.0000 0.0000 0.5000
0.0000 0.5000 0.0000
0.5000 0.0000 0.0000
0.0000 0.0000 0.0000
0.5000 0.5000 0.5000
```

Summary:
Formation enthalpy at 0 K, eV/atom: 1.381
Space-group type: Pm-3m

[5]
First-principles (meta-GGA SCAN) data for a crystal of Zr2ScCu2 relaxed with PBEsol, as listed in the Alexandria database.

```
Zr2ScCu2
1.0
-2.0422 2.0422 5.7416
2.0422 -2.0422 5.7416
2.0422 2.0422 -5.7416
Zr Sc Cu
2 1 2
direct
0.2500 0.7500 0.5000
0.7500 0.2500 0.5000
0.0000 0.0000 0.0000
0.4030 0.4030 0.0000
0.5970 0.5970 0.0000
```

Summary:
Polymorph energy (0 for the lowest one), meV/atom: 203
Formation enthalpy at 0 K, eV/atom: 0.039
Space-group type: I4/mmm

[6]
First-principles (meta-GGA SCAN) data for a crystal of ZrSc2Cu relaxed with PBEsol, as listed in the Alexandria database.

```
ZrSc2Cu
1.0
3.1714 0.0000 0.0000
0.0000 3.1714 0.0000
0.0000 0.0000 7.9395
Zr Sc Cu
1 2 1
direct
0.0000 0.0000 0.0000
0.0000 0.0000 0.4210
0.5000 0.5000 0.7293
0.5000 0.5000 0.2206
```

Summary:
Polymorph energy (0 for the lowest one), meV/atom: 53
Formation enthalpy at 0 K, eV/atom: -0.093
Space-group type: P4mm

[7]
First-principles (meta-GGA SCAN) data for a crystal of CuSe relaxed with PBEsol, as listed in the Alexandria database.

```
CuSe
1.0
1.6652 -6.3695 0.0000
1.6652 6.3695 0.0000
0.0000 0.0000 3.3408
Cu Se
2 2
direct
0.1872 0.8128 0.7500
0.8128 0.1872 0.2500
0.3792 0.6208 0.7500
0.6208 0.3792 0.2500
```

Summary:
Uncorrected formation energy, eV/atom: 0.00
Space-group type: Cmcm

[8]
First-principles (meta-GGA SCAN) data for a crystal of CuSe relaxed with PBEsol, as listed in the Alexandria database.

```
CuSe
1.0
3.8080 0.0000 0.0000
-1.9040 3.2978 0.0000
0.0000 0.0000 5.1717
Cu Se
2 2
direct
0.0000 0.0000 0.0000
0.0000 0.0000 0.5000
0.3333 0.6667 0.2500
0.6667 0.3333 0.7500
```

Summary:
Uncorrected formation energy, eV/atom: -0.06
Space-group type: P6_3/mmc

no.,mass density (g/cm³)
1,7.47
2,6.53
3,5.20
4,5.46
5,6.15
6,5.09
7,6.68
8,7.29